(1)
Computed, not measured: a relaxed FeSeCl2 crystal at the PBE level of DFT.

The total magnetic moment is 3.572 μB/cell. The theoretical density comes out at 4.43 g cm⁻³. The calculation puts the total energy at -13.26 eV/f.u.

```
FeSeCl2
1.0
-0.131 -4.934 0.879
-0.018 0.263 -5.007
3.147 -0.087 -0.016
Fe Se Cl
1 1 2
Cartesian
1.508 -2.510 0.432 Fe
1.565 0.088 -2.511 Se
0.000 0.000 0.000 Cl
-0.075 -2.336 -2.064 Cl
```

(2)
Computed, not measured: a relaxed MgIF crystal at the PBE level of DFT.

The total magnetic moment is 0.000 μB/cell. The theoretical density comes out at 4.13 g cm⁻³. The calculation puts the total energy at -10.78 eV/f.u.

```
MgIF
1.0
3.733 0.000 0.000
-1.866 3.233 0.000
0.000 0.000 5.677
I Mg F
1 1 1
Cartesian
0.000 0.000 0.407 I
1.866 1.078 2.303 Mg
0.000 2.155 2.968 F
```

(3)
Computed, not measured: a relaxed KSr2Tl crystal at the PBE level of DFT.

The total magnetic moment is 0.000 μB/cell. The theoretical density comes out at 3.43 g cm⁻³. As for the formation energy from the elements: -0.106 eV/atom.

```
KSr2Tl
1.0
-1.132 -2.439 3.427
2.761 -2.992 1.551
5.395 6.602 9.250
K Sr Tl
1 2 1
Cartesian
3.509 0.581 7.110 K
4.487 5.027 7.829 Sr
1.453 -0.233 3.083 Sr
1.087 -3.619 3.320 Tl
```

(4)
Computed, not measured: a relaxed Sr2LiIn2 crystal at the PBE level of DFT.

The total magnetic moment is 0.000 μB/cell. The theoretical density comes out at 4.24 g cm⁻³. As for the formation energy from the elements: -0.347 eV/atom.

```
Sr2LiIn2
1.0
-4.642 0.483 2.137
-4.028 -4.621 -1.541
1.027 -5.559 9.650
Sr Li In
4 2 4
Cartesian
-4.073 -2.930 4.145 Sr
-4.451 -5.815 10.140 Sr
-3.571 -6.766 6.102 Sr
-3.193 -3.882 0.106 Sr
-2.644 -3.549 7.388 Li
-5.000 -6.148 2.858 Li
-0.893 -4.435 5.227 In
-5.495 -8.648 8.512 In
-6.751 -5.262 5.020 In
-2.149 -1.049 1.734 In
```